1.
VHgAsO6: relaxed, PBE+U.

a = 5.0303 Å, b = 5.0303 Å, c = 5.0157 Å
α = 90.00°, β = 90.00°, γ = 60.00°
Positions (direct):
As (0.3333, 0.3333, 0.5000)
O (0.3780, 0.0057, 0.7070)
O (0.0057, 0.3780, 0.2930)
Hg (0.0000, 0.0000, 0.0000)
O (0.3780, 0.6162, 0.2930)
O (0.0057, 0.6162, 0.7070)
O (0.6162, 0.0057, 0.2930)
V (0.6666, 0.6667, 0.5000)
O (0.6162, 0.3780, 0.7070)

E_tot: -53.01 eV for the cell shown
crystal system: trigonal
density: 6.38 g/cm³


2.
VHgAs2O8: relaxed, PBE+U.

a = 4.9166 Å, b = 4.9166 Å, c = 8.5952 Å
α = 73.38°, β = 73.38°, γ = 60.00°
Site moments in Bohr magnetons follow the coordinates.
Positions (direct):
V (0.0000, 0.0000, 0.0000)  0.48
O (0.6319, 0.2572, 0.1386)  -0.02
O (0.9723, 0.6319, 0.1386)  -0.02
As (0.7374, 0.7374, 0.7877)  0.01
O (0.3681, 0.7428, 0.8614)  -0.02
Hg (0.5000, 0.5000, 0.5000)  0.03
O (0.2572, 0.9723, 0.1386)  -0.02
O (0.0277, 0.3681, 0.8614)  -0.02
As (0.2626, 0.2626, 0.2123)  0.01
O (0.8074, 0.8074, 0.5778)  0.01
O (0.7428, 0.0277, 0.8614)  -0.02
O (0.1926, 0.1926, 0.4222)  0.01

E_tot: -69.88 eV for the cell shown
crystal system: trigonal
density: 5.18 g/cm³
density of states at the Fermi level: 3.1 states/eV per cell


3.
V2HgAsO8: relaxed, PBE+U.

a = 5.4984 Å, b = 5.4984 Å, c = 7.1350 Å
α = 90.00°, β = 90.00°, γ = 120.00°
Site moments in Bohr magnetons follow the coordinates.
Positions (direct):
O (0.8454, 0.1546, 0.1535)  0.02
O (0.1546, 0.3092, 0.8465)  0.02
O (0.6908, 0.8454, 0.8465)  0.02
O (0.1546, 0.8454, 0.8465)  0.02
O (0.8454, 0.6908, 0.1535)  0.02
V (0.3333, 0.6667, 0.7732)  0.10
O (0.6667, 0.3333, 0.4569)  -0.02
O (0.3333, 0.6667, 0.5431)  -0.02
As (0.0000, 0.0000, 0.0000)  0.00
Hg (0.0000, 0.0000, 0.5000)  0.46
V (0.6667, 0.3333, 0.2268)  0.10
O (0.3092, 0.1546, 0.1535)  0.02

E_tot: -74.81 eV for the cell shown
crystal system: trigonal
density: 4.49 g/cm³
density of states at the Fermi level: 2.9 states/eV per cell